1.
VASP calculation (PBE) on a relaxed Tb2Pd5Au crystal.

Results
Spin magnetization = 0.000 μB per atom
SG = I4/mmm
ΔH_f (0 K) = -20.4 kcal/mol of atoms

Cell lengths 5.9431, 5.9431, 5.8441 Å; angles 120.55, 120.55, 90.02 degrees
Sites, in units of the cell vectors:
1 Pd 0.2222 0.7221 0.9442
2 Pd 0.7221 0.7221 0.9443
3 Tb 0.7221 0.2221 0.4443
4 Tb 0.2221 0.7221 0.4443
5 Pd 0.7221 0.2222 0.9442
6 Au 0.2220 0.2220 0.4440
7 Pd 0.2222 0.2222 0.9442
8 Pd 0.7222 0.7222 0.4445


2.
VASP calculation (PBE) on a relaxed TbPd5Au3 crystal.

Results
Spin magnetization = 0.000 μB per atom
SG = I4/mcm
ΔH_f (0 K) = -2.2 kcal/mol of atoms

Cell lengths 6.7700, 6.7700, 8.9795 Å; angles 112.15, 112.15, 90.00 degrees
Sites, in units of the cell vectors:
1 Au 0.1331 0.3669 0.0000
2 Pd 0.0842 0.5842 0.6968
3 Pd 0.0000 0.0000 0.0000
4 Pd 0.9158 0.4158 0.3032
5 Au 0.6331 0.1331 0.0000
6 Pd 0.5000 0.5000 0.0000
7 Pd 0.4158 0.3873 0.3032
8 Au 0.3669 0.8669 0.0000
9 Pd 0.8873 0.9158 0.3032
10 Au 0.8669 0.6331 0.0000
11 Pd 0.1127 0.0842 0.6968
12 Au 0.7500 0.7500 0.5000
13 Pd 0.5842 0.6127 0.6968
14 Pd 0.3873 0.8873 0.3032
15 Au 0.2500 0.2500 0.5000
16 Tb 0.7500 0.2500 0.5000
17 Pd 0.6127 0.1127 0.6968
18 Tb 0.2500 0.7500 0.5000


3.
VASP calculation (PBE) on a relaxed TbPd4Au crystal.

Results
Spin magnetization = 0.000 μB per atom
SG = P2_1/m
ΔH_f (0 K) = -11.4 kcal/mol of atoms

Cell lengths 5.6012, 7.0586, 5.6453 Å; angles 90.00, 90.00, 105.43 degrees
Sites, in units of the cell vectors:
1 Tb 0.2726 0.5198 0.2500
2 Pd 0.7692 0.4914 0.2500
3 Au 0.4099 0.1349 0.2500
4 Pd 0.9142 0.1854 0.0037
5 Tb 0.7274 0.4802 0.7500
6 Pd 0.2308 0.5086 0.7500
7 Pd 0.0858 0.8146 0.9963
8 Au 0.5901 0.8651 0.7500
9 Pd 0.9142 0.1854 0.4963
10 Pd 0.6686 0.8480 0.2500
11 Pd 0.3314 0.1520 0.7500
12 Pd 0.0858 0.8146 0.5037


4.
VASP calculation (PBE) on a relaxed Tb6Pd5Au crystal.

Results
Spin magnetization = 0.000 μB per atom
SG = C2/m
ΔH_f (0 K) = -19.8 kcal/mol of atoms

Cell lengths 5.0117, 7.0769, 8.6643 Å; angles 65.90, 73.35, 90.00 degrees
Sites, in units of the cell vectors:
1 Au 0.0000 0.0000 0.0000
2 Tb 0.1678 0.4197 0.6641
3 Tb 0.8322 0.5803 0.3359
4 Pd 0.3334 0.8325 0.3347
5 Pd 0.6658 0.6668 0.6664
6 Pd 0.3342 0.3332 0.3336
7 Pd 0.6666 0.1675 0.6653
8 Tb 0.8322 0.0840 0.3359
9 Tb 0.5000 0.2538 0.0000
10 Tb 0.5000 0.7462 0.0000
11 Pd 0.0000 0.5000 0.0000
12 Tb 0.1678 0.9160 0.6641


5.
VASP calculation (PBE) on a relaxed Tb2PdAu3 crystal.

Results
Spin magnetization = 0.000 μB per atom
SG = Ibam
ΔH_f (0 K) = -10.7 kcal/mol of atoms

Cell lengths 7.8916, 6.0836, 8.0799 Å; angles 112.11, 119.23, 90.00 degrees
Sites, in units of the cell vectors:
1 Pd 0.0000 0.0000 0.0000
2 Au 0.8144 0.0644 0.6287
3 Au 0.5000 0.2500 0.0000
4 Au 0.8144 0.5644 0.6287
5 Tb 0.8411 0.1529 0.3058
6 Tb 0.4647 0.6529 0.3058
7 Au 0.1856 0.9356 0.3713
8 Au 0.5000 0.7500 0.0000
9 Au 0.1856 0.4356 0.3713
10 Tb 0.5353 0.3471 0.6942
11 Tb 0.1589 0.8471 0.6942
12 Pd 0.0000 0.5000 0.0000


6.
VASP calculation (PBE) on a relaxed TbPd6Au4 crystal.

Results
Spin magnetization = 0.000 μB per atom
SG = I-42m
ΔH_f (0 K) = -2.0 kcal/mol of atoms

Cell lengths 6.9744, 6.9744, 6.9744 Å; angles 81.14, 125.24, 125.24 degrees
Sites, in units of the cell vectors:
1 Pd 0.5000 0.5000 0.0000
2 Tb 0.0000 0.0000 0.0000
3 Pd 0.6815 0.2451 0.2451
4 Pd 0.0000 0.7549 0.4365
5 Pd 0.0000 0.4365 0.7549
6 Au 0.0000 0.5750 0.0850
7 Pd 0.5000 0.0000 0.5000
8 Au 0.4900 0.9150 0.9150
9 Pd 0.3185 0.5635 0.5635
10 Au 0.5100 0.4250 0.4250
11 Au 0.0000 0.0850 0.5750


7.
VASP calculation (PBE) on a relaxed Tb4Pd12Au crystal.

Results
Spin magnetization = 0.000 μB per atom
SG = Im-3m
ΔH_f (0 K) = -17.6 kcal/mol of atoms

Cell lengths 7.4168, 7.4168, 7.4168 Å; angles 109.47, 109.47, 109.47 degrees
Sites, in units of the cell vectors:
1 Tb 0.0000 0.5000 0.0000
2 Pd 0.2500 0.7500 0.5000
3 Pd 0.7500 0.2500 0.5000
4 Au 0.0000 0.0000 0.0000
5 Pd 0.3037 0.0000 0.3037
6 Pd 0.6963 0.6963 0.0000
7 Pd 0.0000 0.6963 0.6963
8 Pd 0.0000 0.3037 0.3037
9 Tb 0.5000 0.0000 0.0000
10 Pd 0.5000 0.7500 0.2500
11 Tb 0.0000 0.0000 0.5000
12 Pd 0.7500 0.5000 0.2500
13 Pd 0.2500 0.5000 0.7500
14 Pd 0.5000 0.2500 0.7500
15 Pd 0.6963 0.0000 0.6963
16 Tb 0.5000 0.5000 0.5000
17 Pd 0.3037 0.3037 0.0000


8.
VASP calculation (PBE) on a relaxed Tb12PdAu6 crystal.

Results
Spin magnetization = 0.000 μB per atom
SG = R-3
ΔH_f (0 K) = -11.1 kcal/mol of atoms

Cell lengths 8.4210, 8.4210, 8.4210 Å; angles 99.25, 99.25, 99.25 degrees
Sites, in units of the cell vectors:
1 Tb 0.9318 0.0484 0.6790
2 Tb 0.1801 0.4271 0.5789
3 Tb 0.3210 0.0682 0.9516
4 Au 0.3039 0.1341 0.6195
5 Au 0.1341 0.6195 0.3039
6 Au 0.6961 0.8659 0.3805
7 Tb 0.4211 0.8199 0.5729
8 Pd 0.0000 0.0000 0.0000
9 Tb 0.5789 0.1801 0.4271
10 Tb 0.9516 0.3210 0.0682
11 Au 0.8659 0.3805 0.6961
12 Tb 0.4271 0.5789 0.1801
13 Tb 0.5729 0.4211 0.8199
14 Tb 0.0484 0.6790 0.9318
15 Au 0.6195 0.3039 0.1341
16 Tb 0.8199 0.5729 0.4211
17 Tb 0.6790 0.9318 0.0484
18 Au 0.3805 0.6961 0.8659
19 Tb 0.0682 0.9516 0.3210


9.
VASP calculation (PBE) on a relaxed Tb3Pd2Au3 crystal.

Results
Spin magnetization = 0.000 μB per atom
SG = P-62m
ΔH_f (0 K) = -20.1 kcal/mol of atoms

Cell lengths 3.6704, 7.4027, 7.4027 Å; angles 120.00, 90.00, 90.00 degrees
Sites, in units of the cell vectors:
1 Au 0.0000 0.2362 0.0000
2 Pd 0.0000 0.3333 0.6667
3 Tb 0.5000 0.0000 0.6080
4 Pd 0.0000 0.6667 0.3333
5 Tb 0.5000 0.3920 0.3920
6 Tb 0.5000 0.6080 0.0000
7 Au 0.0000 0.7638 0.7638
8 Au 0.0000 0.0000 0.2362


10.
VASP calculation (PBE) on a relaxed TbThPdAu crystal.

Results
Spin magnetization = 0.000 μB per atom
SG = F-43m
ΔH_f (0 K) = -16.2 kcal/mol of atoms

Cell lengths 5.1375, 5.1375, 5.1375 Å; angles 60.00, 60.00, 60.00 degrees
Sites, in units of the cell vectors:
1 Au 0.0000 0.0000 0.0000
2 Tb 0.7500 0.7500 0.7500
3 Pd 0.5000 0.5000 0.5000
4 Th 0.2500 0.2500 0.2500


11.
VASP calculation (PBE) on a relaxed TbThPdAu crystal.

Results
Spin magnetization = 0.000 μB per atom
SG = Amm2
ΔH_f (0 K) = -18.7 kcal/mol of atoms

Cell lengths 3.8182, 4.5610, 5.9689 Å; angles 90.00, 108.65, 90.00 degrees
Sites, in units of the cell vectors:
1 Th 0.8647 0.5000 0.7293
2 Tb 0.1402 0.0000 0.2804
3 Au 0.5877 0.5000 0.1753
4 Pd 0.4075 0.0000 0.8150


12.
VASP calculation (PBE) on a relaxed TbTlPdAu crystal.

Results
Spin magnetization = 0.000 μB per atom
SG = F-43m
ΔH_f (0 K) = -13.4 kcal/mol of atoms

Cell lengths 4.9351, 4.9351, 4.9351 Å; angles 60.00, 60.00, 60.00 degrees
Sites, in units of the cell vectors:
1 Pd 0.5000 0.5000 0.5000
2 Au 0.0000 0.0000 0.0000
3 Tb 0.7500 0.7500 0.7500
4 Tl 0.2500 0.2500 0.2500


Which value of ΔH_f (0 K) does entry 6 give? -2.0 kcal/mol of atoms